Computed, not measured: crystalline K2Eu2O3 at its relaxed geometry at the GGA-PBE level of DFT.

CIF file:
```
data_K2Eu2O3
_symmetry_space_group_name_H-M 'P 1 21/c 1'
_symmetry_Int_Tables_number 14
_cell_length_a 6.9584
_cell_length_b 7.0472
_cell_length_c 7.2518
_cell_angle_alpha 90.00
_cell_angle_beta 119.12
_cell_angle_gamma 90.00
loop_
_symmetry_equiv_pos_as_xyz
'x,y,z'
'-x,-y,-z'
'-x,y+1/2,-z+1/2'
'x,-y+1/2,z+1/2'
loop_
_atom_site_label
_atom_site_fract_x
_atom_site_fract_y
_atom_site_fract_z
K1 0.1250 0.1464 0.4065
Eu1 0.3454 0.6183 0.5924
O1 0.0000 0.0000 0.0000
O2 0.3540 0.5978 0.2673
```

Computed properties:
DFT total energy in eV per cell: -103.79
Energy relative to the elements, uncorrected in meV per atom: -2040



Computed, not measured: crystalline K3EuP2O8 at its relaxed geometry at the GGA-PBE level of DFT.

CIF file:
```
data_K3EuP2O8
_symmetry_space_group_name_H-M 'P 1 21/m 1'
_symmetry_Int_Tables_number 11
_cell_length_a 7.5531
_cell_length_b 5.7508
_cell_length_c 9.6839
_cell_angle_alpha 90.00
_cell_angle_beta 91.13
_cell_angle_gamma 90.00
loop_
_symmetry_equiv_pos_as_xyz
'x,y,z'
'-x,-y,-z'
'-x,y+1/2,-z'
'x,-y+1/2,z'
loop_
_atom_site_label
_atom_site_fract_x
_atom_site_fract_y
_atom_site_fract_z
K1 0.0055 0.2500 0.1935
K2 0.1432 0.7500 0.4120
K3 0.3000 0.2500 0.9154
Eu1 0.4940 0.7500 0.7095
P1 0.2657 0.7500 0.0879
P2 0.3079 0.2500 0.5724
O1 0.0626 0.7500 0.1022
O2 0.2134 0.2500 0.4274
O3 0.2550 0.0292 0.6556
O4 0.3188 0.7500 0.9331
O5 0.3444 0.5280 0.1590
O6 0.4900 0.7500 0.4535
```

Computed properties:
DFT total energy in eV per cell: -196.35
Energy relative to the elements, uncorrected in meV per atom: -2437



Computed, not measured: crystalline KEuP4O12 at its relaxed geometry at the GGA-PBE level of DFT.

CIF file:
```
data_KEuP4O12
_symmetry_space_group_name_H-M 'P 1 21/c 1'
_symmetry_Int_Tables_number 14
_cell_length_a 10.6657
_cell_length_b 9.1779
_cell_length_c 12.9617
_cell_angle_alpha 90.00
_cell_angle_beta 125.67
_cell_angle_gamma 90.00
loop_
_symmetry_equiv_pos_as_xyz
'x,y,z'
'-x,-y,-z'
'-x,y+1/2,-z+1/2'
'x,-y+1/2,z+1/2'
loop_
_atom_site_label
_atom_site_fract_x
_atom_site_fract_y
_atom_site_fract_z
K1 0.2422 0.0681 0.4586
Eu1 0.1855 0.7262 0.6869
P1 0.1153 0.0950 0.7603
P2 0.1832 0.1709 0.1444
P3 0.3021 0.6012 0.4822
P4 0.4791 0.0266 0.2327
O1 0.0164 0.6777 0.7561
O2 0.0773 0.5349 0.1762
O3 0.0788 0.2366 0.0148
O4 0.1423 0.0334 0.1814
O5 0.1987 0.6542 0.5175
O6 0.2260 0.2079 0.7518
O7 0.2370 0.0525 0.9073
O8 0.3374 0.7036 0.4120
O9 0.3517 0.1566 0.1716
O10 0.3631 0.5933 0.1870
O11 0.4396 0.5847 0.7948
O12 0.4604 0.5412 0.6082
```

Computed properties:
DFT total energy in eV per cell: -537.23
Energy relative to the elements, uncorrected in meV per atom: -2322



Computed, not measured: crystalline KSmEuSbO6 at its relaxed geometry at the GGA-PBE level of DFT.

CIF file:
```
data_KSmEuSbO6
_symmetry_space_group_name_H-M 'F -4 3 m'
_symmetry_Int_Tables_number 216
_symmetry_space_group_name_Hall 'F -4 2 3'
_cell_length_a 8.5106
_cell_length_b 8.5106
_cell_length_c 8.5106
_cell_angle_alpha 90.00
_cell_angle_beta 90.00
_cell_angle_gamma 90.00
loop_
_atom_site_label
_atom_site_fract_x
_atom_site_fract_y
_atom_site_fract_z
K1 0.0000 0.0000 0.0000
Sm1 0.2500 0.2500 0.7500
Eu1 0.0000 0.0000 0.5000
Sb1 0.2500 0.2500 0.2500
O1 0.0162 0.2500 0.2500
```

Computed properties:
DFT total energy in eV per cell: -288.42
Energy relative to the elements, uncorrected in meV per atom: -2214



Computed, not measured: crystalline KSrEuSeO6 at its relaxed geometry at the GGA-PBE level of DFT.

CIF file:
```
data_KSrEuSeO6
_symmetry_space_group_name_H-M 'F -4 3 m'
_symmetry_Int_Tables_number 216
_symmetry_space_group_name_Hall 'F -4 2 3'
_cell_length_a 8.2333
_cell_length_b 8.2333
_cell_length_c 8.2333
_cell_angle_alpha 90.00
_cell_angle_beta 90.00
_cell_angle_gamma 90.00
loop_
_atom_site_label
_atom_site_fract_x
_atom_site_fract_y
_atom_site_fract_z
K1 0.0000 0.0000 0.0000
Sr1 0.0000 0.0000 0.5000
Eu1 0.2500 0.2500 0.7500
Se1 0.2500 0.2500 0.2500
O1 0.0277 0.2500 0.2500
```

Computed properties:
DFT total energy in eV per cell: -257.89
Energy relative to the elements, uncorrected in meV per atom: -1818



Computed, not measured: crystalline KEuSn2O6 at its relaxed geometry at the GGA-PBE level of DFT.

CIF file:
```
data_KEuSn2O6
_symmetry_space_group_name_H-M 'F m -3 m'
_symmetry_Int_Tables_number 225
_symmetry_space_group_name_Hall '-F 4 2 3'
_cell_length_a 8.2075
_cell_length_b 8.2075
_cell_length_c 8.2075
_cell_angle_alpha 90.00
_cell_angle_beta 90.00
_cell_angle_gamma 90.00
loop_
_atom_site_label
_atom_site_fract_x
_atom_site_fract_y
_atom_site_fract_z
K1 0.0000 0.0000 0.0000
Eu1 0.0000 0.0000 0.5000
Sn1 0.2500 0.2500 0.2500
O1 0.0000 0.2500 0.2500
```

Computed properties:
DFT total energy in eV per cell: -268.47
Energy relative to the elements, uncorrected in meV per atom: -1799